Record 1
Material: CrHgSb2Os
Method: DFT, meta-GGA SCAN
State: PBEsol geometry

Lattice parameters (Å, degrees): 5.0194 5.3095 5.3095 90.00 90.00 90.00
With the nearest neighbours (Å) after each atom.
Fractional coordinates of all 5 atoms:
Sb  0.0000  0.5000  0.0000  2 Hg 2.65
Sb  0.0000  0.0000  0.5000  2 Hg 2.65
Hg  0.0000  0.0000  0.0000  2 Os 2.51, 4 Sb 2.65
Cr  0.5000  0.5000  0.5000  8 Sb 3.65, 4 Os 3.75
Os  0.5000  0.0000  0.0000  2 Hg 2.51

Summary:
Space group: P4/mmm
Formation energy (no corrections): 9.086 eV/f.u.

---

Record 2
Material: ZnCoPt3
Method: DFT, meta-GGA SCAN
State: PBEsol geometry

Lattice parameters (Å, degrees): 4.4758 4.4758 4.4758 90.00 90.00 90.00
With the nearest neighbours (Å) after each atom.
Fractional coordinates of all 5 atoms:
Pt  0.0000  0.0000  0.5000  2 Co 2.24
Pt  0.5000  0.0000  0.0000  2 Co 2.24
Pt  0.0000  0.5000  0.0000  2 Co 2.24
Zn  0.5000  0.5000  0.5000  12 Pt 3.16
Co  0.0000  0.0000  0.0000  6 Pt 2.24

Summary:
Space group: Pm-3m
Energy of formation: 893 meV per atom

---

no.,DOS at the Fermi energy (states/eV/cell),uncorrected energy (eV/cell)
1,5.0,-223.87
2,3.8,-236.93